# LaCdBi4Rh2

A relaxed structure of LaCdBi4Rh2 (PBE, Alexandria via LeMat-Bulk).

Results
Uncorrected energy in eV/atom: -4.496
Formation energy from the elements in eV/atom: 0.0122

```
data_LaCdBi4Rh2
_symmetry_space_group_name_H-M 'P 4/m m m'
_symmetry_Int_Tables_number 123
_symmetry_space_group_name_Hall '-P 4 2'
_cell_length_a 4.6640
_cell_length_b 4.6640
_cell_length_c 10.6761
_cell_angle_alpha 90.00
_cell_angle_beta 90.00
_cell_angle_gamma 90.00
loop_
_atom_site_label
_atom_site_fract_x
_atom_site_fract_y
_atom_site_fract_z
_atom_site_occupancy
La1 0.0000 0.0000 0.0000 1
Cd1 0.0000 0.0000 0.5000 1
Bi1 0.0000 0.5000 0.2372 1
Rh1 0.5000 0.5000 0.3759 1
```

# CsNa2TbBr6

A relaxed structure of CsNa2TbBr6 (PBE, Alexandria via LeMat-Bulk).

Results
Formation energy from raw total energies in eV/atom: -1.7375
Uncorrected energy in eV/atom: -3.553

```
data_CsNa2TbBr6
_symmetry_space_group_name_H-M 'R 3'
_symmetry_Int_Tables_number 146
_symmetry_space_group_name_Hall 'R 3'
_cell_length_a 7.7050
_cell_length_b 7.7050
_cell_length_c 21.3403
_cell_angle_alpha 90.00
_cell_angle_beta 90.00
_cell_angle_gamma 120.00
loop_
_atom_site_label
_atom_site_fract_x
_atom_site_fract_y
_atom_site_fract_z
_atom_site_occupancy
Cs1 0.0000 0.0000 0.0000 1
Na1 0.0000 0.0000 0.2732 1
Na2 0.0000 0.0000 0.7940 1
Tb1 0.0000 0.0000 0.4666 1
Br1 0.0194 0.3505 0.2022 1
Br2 0.0185 0.5703 0.0459 1
```

# CuRh2W

A relaxed structure of CuRh2W (PBE, Alexandria via LeMat-Bulk).

Results
Offset from the most stable computed form in meV/atom: 44
Uncorrected energy in eV/atom: -8.042
Formation energy from the elements in eV/atom: -0.1040

```
data_CuRh2W
_symmetry_space_group_name_H-M 'P 4/m m m'
_symmetry_Int_Tables_number 123
_symmetry_space_group_name_Hall '-P 4 2'
_cell_length_a 2.8151
_cell_length_b 2.8151
_cell_length_c 7.1873
_cell_angle_alpha 90.00
_cell_angle_beta 90.00
_cell_angle_gamma 90.00
loop_
_atom_site_label
_atom_site_fract_x
_atom_site_fract_y
_atom_site_fract_z
_atom_site_occupancy
Cu1 0.0000 0.0000 0.0000 1
Rh1 0.5000 0.5000 0.2454 1
W1 0.0000 0.0000 0.5000 1
```

# NaSb3Ir

A relaxed structure of NaSb3Ir (PBE, Alexandria via LeMat-Bulk).

Results
Offset from the most stable computed form in meV/atom: 1205
Formation energy from raw total energies in eV/atom: 1.4756
Uncorrected energy in eV/atom: -3.034

```
data_NaSb3Ir
_symmetry_space_group_name_H-M 'P m -3 m'
_symmetry_Int_Tables_number 221
_symmetry_space_group_name_Hall '-P 4 2 3'
_cell_length_a 5.1424
_cell_length_b 5.1424
_cell_length_c 5.1424
_cell_angle_alpha 90.00
_cell_angle_beta 90.00
_cell_angle_gamma 90.00
loop_
_atom_site_label
_atom_site_fract_x
_atom_site_fract_y
_atom_site_fract_z
_atom_site_occupancy
Na1 0.0000 0.0000 0.0000 1
Sb1 0.0000 0.0000 0.5000 1
Ir1 0.5000 0.5000 0.5000 1
```

# KRh

A relaxed structure of KRh (PBE, Alexandria via LeMat-Bulk).

Results
Offset from the most stable computed form in meV/atom: 393
Uncorrected energy in eV/atom: -3.463
Formation energy from the elements in eV/atom: 0.7615

```
data_KRh
_symmetry_space_group_name_H-M 'I 4/m'
_symmetry_Int_Tables_number 87
_symmetry_space_group_name_Hall '-I 4'
_cell_length_a 13.9329
_cell_length_b 13.9329
_cell_length_c 2.8984
_cell_angle_alpha 90.00
_cell_angle_beta 90.00
_cell_angle_gamma 90.00
loop_
_atom_site_label
_atom_site_fract_x
_atom_site_fract_y
_atom_site_fract_z
_atom_site_occupancy
K1 0.0433 0.7459 0.0000 1
Rh1 0.1771 0.2555 0.0000 1
```

# ReAg2Cl

A relaxed structure of ReAg2Cl (PBE, Alexandria via LeMat-Bulk).

Results
Offset from the most stable computed form in meV/atom: 538
Formation energy from raw total energies in eV/atom: 0.9279
Uncorrected energy in eV/atom: -4.071

```
data_ReAg2Cl
_symmetry_space_group_name_H-M 'P m m m'
_symmetry_Int_Tables_number 47
_symmetry_space_group_name_Hall '-P 2 2'
_cell_length_a 2.8362
_cell_length_b 4.7361
_cell_length_c 5.1768
_cell_angle_alpha 90.00
_cell_angle_beta 90.00
_cell_angle_gamma 90.00
loop_
_atom_site_label
_atom_site_fract_x
_atom_site_fract_y
_atom_site_fract_z
_atom_site_occupancy
Re1 0.0000 0.0000 0.0000 1
Ag1 0.0000 0.5000 0.5000 1
Ag2 0.5000 0.0000 0.5000 1
Cl1 0.5000 0.5000 0.0000 1
```

# AcCePu2P4

A relaxed structure of AcCePu2P4 (PBE, Alexandria via LeMat-Bulk).

Results
Uncorrected energy in eV/atom: -8.815
Formation energy from the elements in eV/atom: -1.2718

```
data_AcCePu2P4
_symmetry_space_group_name_H-M 'P 1 2/m 1'
_symmetry_Int_Tables_number 10
_symmetry_space_group_name_Hall '-P 2y'
_cell_length_a 7.1461
_cell_length_b 4.1427
_cell_length_c 7.1920
_cell_angle_alpha 90.00
_cell_angle_beta 109.52
_cell_angle_gamma 90.00
loop_
_atom_site_label
_atom_site_fract_x
_atom_site_fract_y
_atom_site_fract_z
_atom_site_occupancy
Ac1 0.0000 0.0000 0.0000 1
Ce1 0.0000 0.5000 0.5000 1
Pu1 0.5000 0.0000 0.5000 1
Pu2 0.5000 0.5000 0.0000 1
P1 0.2648 0.0000 0.7439 1
P2 0.2735 0.5000 0.2694 1
```

# SrAlTc2

A relaxed structure of SrAlTc2 (PBE, Alexandria via LeMat-Bulk).

Results
Uncorrected energy in eV/atom: -6.415
Formation energy from the elements in eV/atom: 0.1246

```
data_SrAlTc2
_symmetry_space_group_name_H-M 'P 4 m m'
_symmetry_Int_Tables_number 99
_symmetry_space_group_name_Hall 'P 4 -2'
_cell_length_a 3.1442
_cell_length_b 3.1442
_cell_length_c 7.9190
_cell_angle_alpha 90.00
_cell_angle_beta 90.00
_cell_angle_gamma 90.00
loop_
_atom_site_label
_atom_site_fract_x
_atom_site_fract_y
_atom_site_fract_z
_atom_site_occupancy
Sr1 0.0000 0.0000 0.0000 1
Al1 0.5000 0.5000 0.6783 1
Tc1 0.0000 0.0000 0.4765 1
Tc2 0.5000 0.5000 0.3126 1
```

# Na3AgSn2

A relaxed structure of Na3AgSn2 (PBE, Alexandria via LeMat-Bulk).

Results
Uncorrected energy in eV/atom: -2.602
Formation energy from the elements in eV/atom: -0.1327

```
data_Na3AgSn2
_symmetry_space_group_name_H-M 'C 1 2/c 1'
_symmetry_Int_Tables_number 15
_symmetry_space_group_name_Hall '-C 2yc'
_cell_length_a 8.2525
_cell_length_b 18.5914
_cell_length_c 5.6249
_cell_angle_alpha 90.00
_cell_angle_beta 132.84
_cell_angle_gamma 90.00
loop_
_atom_site_label
_atom_site_fract_x
_atom_site_fract_y
_atom_site_fract_z
_atom_site_occupancy
Na1 0.0000 0.0001 0.2500 1
Na2 0.1558 0.1957 0.1556 1
Ag1 0.0000 0.5001 0.2500 1
Sn1 0.1477 0.3729 0.1481 1
```

# EuReB2

A relaxed structure of EuReB2 (PBE, Alexandria via LeMat-Bulk).

Results
Uncorrected energy in eV/atom: -8.805
Formation energy from the elements in eV/atom: 0.2140

```
data_EuReB2
_symmetry_space_group_name_H-M 'R -3 m'
_symmetry_Int_Tables_number 166
_symmetry_space_group_name_Hall '-R 3 2"'
_cell_length_a 3.3446
_cell_length_b 3.3446
_cell_length_c 17.7497
_cell_angle_alpha 90.00
_cell_angle_beta 90.00
_cell_angle_gamma 120.00
loop_
_atom_site_label
_atom_site_fract_x
_atom_site_fract_y
_atom_site_fract_z
_atom_site_occupancy
Eu1 0.0000 0.0000 0.0000 1
Re1 0.0000 0.0000 0.5000 1
B1 0.0000 0.0000 0.2273 1
```

# Cs3ScOs

A relaxed structure of Cs3ScOs (PBE, Alexandria via LeMat-Bulk).

Results
Offset from the most stable computed form in meV/atom: 0
Uncorrected energy in eV/atom: -2.409
Formation energy from the elements in eV/atom: 1.6151

```
data_Cs3ScOs
_symmetry_space_group_name_H-M 'P m -3 m'
_symmetry_Int_Tables_number 221
_symmetry_space_group_name_Hall '-P 4 2 3'
_cell_length_a 6.2568
_cell_length_b 6.2568
_cell_length_c 6.2568
_cell_angle_alpha 90.00
_cell_angle_beta 90.00
_cell_angle_gamma 90.00
loop_
_atom_site_label
_atom_site_fract_x
_atom_site_fract_y
_atom_site_fract_z
_atom_site_occupancy
Cs1 0.0000 0.0000 0.5000 1
Sc1 0.5000 0.5000 0.5000 1
Os1 0.0000 0.0000 0.0000 1
```

# ZrPt

A relaxed structure of ZrPt (PBE, Alexandria via LeMat-Bulk).

Results
Uncorrected energy in eV/atom: -8.170
Formation energy from the elements in eV/atom: -0.8755

```
data_ZrPt
_symmetry_space_group_name_H-M 'F d d d'
_symmetry_Int_Tables_number 70
_cell_length_a 7.0511
_cell_length_b 8.5144
_cell_length_c 10.8346
_cell_angle_alpha 90.00
_cell_angle_beta 90.00
_cell_angle_gamma 90.00
loop_
_symmetry_equiv_pos_as_xyz
'x,y,z'
'-x,-y,-z'
'-x+1/4,-y+1/4,z'
'x+1/4,y+1/4,-z'
'x,-y+1/4,-z+1/4'
'-x,y+1/4,z+1/4'
'-x+1/4,y,-z+1/4'
'x+1/4,-y,z+1/4'
'x,y+1/2,z+1/2'
'-x,-y+1/2,-z+1/2'
'-x+1/4,-y+3/4,z+1/2'
'x+1/4,y+3/4,-z+1/2'
'x,-y+3/4,-z+3/4'
'-x,y+3/4,z+3/4'
'-x+1/4,y+1/2,-z+3/4'
'x+1/4,-y+1/2,z+3/4'
'x+1/2,y,z+1/2'
'-x+1/2,-y,-z+1/2'
'-x+3/4,-y+1/4,z+1/2'
'x+3/4,y+1/4,-z+1/2'
'x+1/2,-y+1/4,-z+3/4'
'-x+1/2,y+1/4,z+3/4'
'-x+3/4,y,-z+3/4'
'x+3/4,-y,z+3/4'
'x+1/2,y+1/2,z'
'-x+1/2,-y+1/2,-z'
'-x+3/4,-y+3/4,z'
'x+3/4,y+3/4,-z'
'x+1/2,-y+3/4,-z+1/4'
'-x+1/2,y+3/4,z+1/4'
'-x+3/4,y+1/2,-z+1/4'
'x+3/4,-y+1/2,z+1/4'
loop_
_atom_site_label
_atom_site_fract_x
_atom_site_fract_y
_atom_site_fract_z
_atom_site_occupancy
Zr1 0.1250 0.3327 0.1250 1
Pt1 0.0762 0.3750 0.8750 1
```

# NaEuPtAu

A relaxed structure of NaEuPtAu (PBE, Alexandria via LeMat-Bulk).

Results
Uncorrected energy in eV/atom: -5.759
Formation energy from the elements in eV/atom: -0.5308

```
data_NaEuPtAu
_symmetry_space_group_name_H-M 'F -4 3 m'
_symmetry_Int_Tables_number 216
_symmetry_space_group_name_Hall 'F -4 2 3'
_cell_length_a 7.1164
_cell_length_b 7.1164
_cell_length_c 7.1164
_cell_angle_alpha 90.00
_cell_angle_beta 90.00
_cell_angle_gamma 90.00
loop_
_atom_site_label
_atom_site_fract_x
_atom_site_fract_y
_atom_site_fract_z
_atom_site_occupancy
Na1 0.0000 0.0000 0.0000 1
Eu1 0.0000 0.0000 0.5000 1
Pt1 0.2500 0.2500 0.7500 1
Au1 0.2500 0.2500 0.2500 1
```

# Eu2MgCl

A relaxed structure of Eu2MgCl (PBE, Alexandria via LeMat-Bulk).

Results
Offset from the most stable computed form in meV/atom: 68
Formation energy from raw total energies in eV/atom: -0.7319
Uncorrected energy in eV/atom: -6.729

```
data_Eu2MgCl
_symmetry_space_group_name_H-M 'P 4/m m m'
_symmetry_Int_Tables_number 123
_symmetry_space_group_name_Hall '-P 4 2'
_cell_length_a 3.6080
_cell_length_b 3.6080
_cell_length_c 9.1341
_cell_angle_alpha 90.00
_cell_angle_beta 90.00
_cell_angle_gamma 90.00
loop_
_atom_site_label
_atom_site_fract_x
_atom_site_fract_y
_atom_site_fract_z
_atom_site_occupancy
Eu1 0.0000 0.0000 0.2328 1
Mg1 0.5000 0.5000 0.5000 1
Cl1 0.5000 0.5000 0.0000 1
```

# ScCrTcW

A relaxed structure of ScCrTcW (PBE, Alexandria via LeMat-Bulk).

Results
Uncorrected energy in eV/atom: -9.819
Formation energy from the elements in eV/atom: -0.0009

```
data_ScCrTcW
_symmetry_space_group_name_H-M 'F -4 3 m'
_symmetry_Int_Tables_number 216
_symmetry_space_group_name_Hall 'F -4 2 3'
_cell_length_a 6.2896
_cell_length_b 6.2896
_cell_length_c 6.2896
_cell_angle_alpha 90.00
_cell_angle_beta 90.00
_cell_angle_gamma 90.00
loop_
_atom_site_label
_atom_site_fract_x
_atom_site_fract_y
_atom_site_fract_z
_atom_site_occupancy
Sc1 0.0000 0.0000 0.0000 1
Cr1 0.2500 0.2500 0.7500 1
Tc1 0.2500 0.2500 0.2500 1
W1 0.0000 0.0000 0.5000 1
```

# CeCdFe

A relaxed structure of CeCdFe (PBE, Alexandria via LeMat-Bulk).

Results
Offset from the most stable computed form in meV/atom: 0
Uncorrected energy in eV/atom: -5.290
Formation energy from the elements in eV/atom: -0.1861

```
data_CeCdFe
_symmetry_space_group_name_H-M 'C 1 2/m 1'
_symmetry_Int_Tables_number 12
_symmetry_space_group_name_Hall '-C 2y'
_cell_length_a 12.0248
_cell_length_b 4.6774
_cell_length_c 4.6220
_cell_angle_alpha 90.00
_cell_angle_beta 106.59
_cell_angle_gamma 90.00
loop_
_atom_site_label
_atom_site_fract_x
_atom_site_fract_y
_atom_site_fract_z
_atom_site_occupancy
Ce1 0.1402 0.0000 0.3603 1
Cd1 0.0796 0.5000 0.8084 1
Fe1 0.2030 0.0000 0.8306 1
```